AlIr2WF: relaxed, GGA+U.

Values from the calculation:
Raw total energy, eV/f.u.: -23.15
Symmetry: P4/mmm

Structure (extended XYZ):
```
5
Lattice="4.732 0.000 0.000 0.000 5.239 0.000 0.000 0.000 4.732" Properties=species:S:1:pos:R:3 pbc="T T T"
F 2.366 2.619 2.366
Ir 0.000 0.000 2.366
W 0.000 0.000 0.000
Al 0.000 2.619 0.000
Ir 2.366 0.000 0.000
```